# Ce3Pt8Au (PBE-GGA, optimized geometry)
# * DOS at the Fermi energy: 1.31 states/eV per atom
# * formation enthalpy at 0 K: -0.9273 eV per atom
# * magnetization: 1.535 μB per formula unit
# * ρ: 15.82 Mg/m³
data_Ce3Pt8Au
_chemical_formula_sum 'Ce3 Pt8 Au1'
_cell_length_a 5.439
_cell_length_b 5.439
_cell_length_c 9.463
_cell_angle_alpha 73.30
_cell_angle_beta 73.30
_cell_angle_gamma 60.00
_symmetry_space_group_name_H-M 'P 1'
_symmetry_Int_Tables_number 1
_symmetry_space_group_name_Hall 'P 1'
loop_
_atom_site_label
_atom_site_fract_x
_atom_site_fract_y
_atom_site_fract_z
_atom_site_occupancy
Ce1 0.379 0.379 0.864 1
Ce2 0.990 0.990 0.030 1
Ce3 0.507 0.507 0.478 1
Pt1 0.942 0.437 0.184 1
Pt2 0.437 0.938 0.688 1
Pt3 0.437 0.437 0.184 1
Pt4 0.938 0.938 0.688 1
Pt5 0.188 0.188 0.436 1
Pt6 0.688 0.688 0.936 1
Pt7 0.437 0.942 0.184 1
Pt8 0.938 0.437 0.688 1
Au1 0.870 0.870 0.389 1